Below is a geometry-optimized Li2PuInO6 structure, with properties calculated at the PBE level.

Properties
Theoretical density   6.50 Mg/m³
Energy relative to the elements, uncorrected   -1975 kJ/mol of formula units
Uncorrected energy   -7.112 eV per atom

Cell and atoms, written as extended XYZ:
```
10
Lattice="2.676 1.545 4.830 -2.676 1.545 4.830 0.000 -3.090 4.830" Properties=species:S:1:pos:R:3 pbc="T T T"
Li 0.000 0.000 0.000
Li 0.000 0.000 7.043
Pu 0.000 0.000 10.214
In 0.000 0.000 3.037
O -0.978 -1.677 6.470
O -1.607 0.046 8.994
O -0.964 1.685 6.470
O 0.763 -1.414 8.994
O 1.941 -0.008 6.470
O 0.843 1.368 8.994
```